Entry 1:
NdInSnHg | GGA-PBE | optimized geometry

Unit cell a=4.628 b=4.650 c=4.855 alpha=90.00 beta=90.00 gamma=90.00
Element x y z (fractional)
Nd  0.000  0.000  0.000
In  0.000  0.500  0.500
Sn  0.500  0.500  0.000
Hg  0.500  0.000  0.500

Output
- Formation energy from the elements: -0.49 eV/atom
- Symmetry: No. 47

***

Entry 2:
SrNdInHg | GGA-PBE | optimized geometry

Unit cell a=3.887 b=3.887 c=8.134 alpha=90.00 beta=90.00 gamma=90.00
Element x y z (fractional)
Sr  0.000  0.000  0.000
Nd  0.000  0.000  0.511
In  0.500  0.500  0.273
Hg  0.500  0.500  0.737

Output
- Formation energy from the elements: -0.48 eV/atom
- Symmetry: No. 99

***

Entry 3:
SrNdInHg | GGA-PBE | optimized geometry

Unit cell a=5.585 b=5.585 c=5.585 alpha=60.00 beta=60.00 gamma=60.00
Element x y z (fractional)
Sr  0.000  0.000  0.000
Nd  0.500  0.500  0.500
In  0.250  0.250  0.250
Hg  0.750  0.750  0.750

Output
- Formation energy from the elements: -0.46 eV/atom
- Symmetry: No. 216

***

Entry 4:
TbNd2In2Hg2 | GGA-PBE | optimized geometry

Unit cell a=9.832 b=9.832 c=9.832 alpha=28.99 beta=28.99 gamma=28.99
Element x y z (fractional)
Tb  0.000  0.000  0.000
Nd  0.128  0.128  0.128
Nd  0.872  0.872  0.872
In  0.260  0.260  0.260
In  0.740  0.740  0.740
Hg  0.388  0.388  0.388
Hg  0.612  0.612  0.612

Output
- Formation energy from the elements: -0.31 eV/atom
- Symmetry: No. 166

***

Entry 5:
TbNdInHg | GGA-PBE | optimized geometry

Unit cell a=5.402 b=5.402 c=5.402 alpha=60.00 beta=60.00 gamma=60.00
Element x y z (fractional)
Tb  0.000  0.000  0.000
Nd  0.500  0.500  0.500
In  0.750  0.750  0.750
Hg  0.250  0.250  0.250

Output
- Formation energy from the elements: -0.47 eV/atom
- Symmetry: No. 216

***

Entry 6:
NdIn2HgTe4 | GGA-PBE | optimized geometry

Unit cell a=7.939 b=4.412 c=8.006 alpha=90.00 beta=110.32 gamma=90.00
Element x y z (fractional)
Nd  0.000  0.000  0.000
In  0.500  0.000  0.500
In  0.500  0.500  0.000
Hg  0.000  0.500  0.500
Te  0.252  0.500  0.237
Te  0.255  0.000  0.760
Te  0.745  0.000  0.240
Te  0.748  0.500  0.763

Output
- Uncorrected formation energy: -0.54 eV per atom
- Symmetry: No. 10

***

Number 1: calculated density 9.2 g cm⁻³, D(E_F) 1.5 states/eV/f.u.. Number 2: calculated density 7.4 g cm⁻³, D(E_F) 2.4 states/eV/f.u.. Number 3: calculated density 7.4 g cm⁻³, D(E_F) 2.5 states/eV/f.u.. Number 4: calculated density 9.1 g cm⁻³, D(E_F) 4.3 states/eV/f.u.. Number 5: calculated density 9.2 g cm⁻³, D(E_F) 4.9 states/eV/f.u.. Number 6: calculated density 6.9 g cm⁻³, D(E_F) 2.7 states/eV/f.u..